(1)
DFT (PBE-GGA) results for an optimized crystal structure of HoPa2SbN5.

```
18
Lattice="1.801 -7.350 0.000 1.801 7.350 0.000 0.000 0.000 11.752" Properties=species:S:1:pos:R:3 pbc="T T T"
Ho 1.801 3.790 5.876
Ho 1.801 -3.790 0.000
Pa 1.801 5.272 2.708
Pa 1.801 5.269 9.044
Pa 1.801 -5.269 3.168
Pa 1.801 -5.272 8.584
Sb 1.801 0.331 5.878
Sb 1.801 -0.331 0.002
N 1.801 -7.347 2.924
N 1.801 7.347 8.800
N 1.801 3.090 1.761
N 1.801 3.087 9.994
N 1.801 1.923 4.526
N 1.801 1.925 7.226
N 1.801 -1.925 1.350
N 1.801 -1.923 10.402
N 1.801 -3.087 4.118
N 1.801 -3.090 7.637
```

Values from the calculation:
- energy relative to the elements, uncorrected (eV/f.u.) = -9.98
- magnetization (μB/cell) = 0.00
- DOS at the Fermi energy (states/eV per cell) = 3.328
- SG = No. 36

***

(2)
DFT (PBE-GGA) results for an optimized crystal structure of Ho2ScPaN4.

```
8
Lattice="5.858 0.000 0.000 0.000 3.430 0.000 -1.915 0.000 5.577" Properties=species:S:1:pos:R:3 pbc="T T T"
Ho 0.000 0.000 0.000
Ho 2.929 1.715 0.000
Sc -0.957 1.715 2.788
Pa 1.972 0.000 2.788
N 0.048 0.000 4.094
N 0.958 1.715 1.454
N 2.986 1.715 4.123
N 3.896 0.000 1.482
```

Values from the calculation:
- energy relative to the elements, uncorrected (eV/f.u.) = -13.89
- magnetization (μB/cell) = 0.00
- DOS at the Fermi energy (states/eV per cell) = 3.457
- SG = No. 10

***

(3)
DFT (PBE-GGA) results for an optimized crystal structure of HoPaSeN2.

```
5
Lattice="-1.947 1.947 6.075 1.947 -1.947 6.075 1.947 1.947 -6.075" Properties=species:S:1:pos:R:3 pbc="T T T"
Ho 0.000 0.000 0.000
Pa 0.000 0.000 3.895
Se 0.000 0.000 8.012
N 1.947 0.000 4.885
N 0.000 1.947 4.885
```

Values from the calculation:
- energy relative to the elements, uncorrected (eV/f.u.) = -8.98
- magnetization (μB/cell) = 0.00
- DOS at the Fermi energy (states/eV per cell) = 0.000
- SG = No. 107

***

(4)
DFT (PBE-GGA) results for an optimized crystal structure of HoPa2SiN5.

```
18
Lattice="6.558 0.000 0.000 0.000 6.558 0.000 0.000 0.000 5.488" Properties=species:S:1:pos:R:3 pbc="T T T"
Ho 0.000 0.000 0.000
Ho 3.279 3.279 0.000
Pa 1.159 2.120 2.744
Pa 2.120 5.399 2.744
Pa 4.438 1.159 2.744
Pa 5.399 4.438 2.744
Si 0.000 3.279 0.000
Si 3.279 0.000 0.000
N 0.000 0.000 2.744
N 0.922 4.201 1.284
N 0.922 4.201 4.203
N 2.357 0.922 1.284
N 2.357 0.922 4.203
N 3.279 3.279 2.744
N 4.201 5.637 1.284
N 4.201 5.637 4.203
N 5.637 2.357 1.284
N 5.637 2.357 4.203
```

Values from the calculation:
- energy relative to the elements, uncorrected (eV/f.u.) = -11.03
- magnetization (μB/cell) = 0.00
- DOS at the Fermi energy (states/eV per cell) = 8.237
- SG = No. 127

***

(5)
DFT (PBE-GGA) results for an optimized crystal structure of Sm3HoPa2N6.

```
12
Lattice="3.053 -5.292 0.000 3.053 5.292 0.000 -2.033 0.000 5.790" Properties=species:S:1:pos:R:3 pbc="T T T"
Sm 0.000 0.000 0.000
Sm 3.053 1.753 0.000
Sm 3.053 -1.753 0.000
Ho 2.037 0.000 2.895
Pa 2.037 3.527 2.895
Pa 2.037 -3.527 2.895
N 0.985 1.820 1.599
N -0.059 0.000 4.196
N 0.985 -1.820 1.599
N 3.090 1.820 4.190
N 4.133 0.000 1.594
N 3.090 -1.820 4.190
```

Values from the calculation:
- energy relative to the elements, uncorrected (eV/f.u.) = -19.64
- magnetization (μB/cell) = 0.00
- DOS at the Fermi energy (states/eV per cell) = 5.029
- SG = No. 12

***

(6)
DFT (PBE-GGA) results for an optimized crystal structure of Sm2HoPaN4.

```
8
Lattice="6.065 0.000 0.000 0.000 3.540 0.000 -2.007 0.000 5.783" Properties=species:S:1:pos:R:3 pbc="T T T"
Sm 0.000 0.000 0.000
Sm 3.032 1.770 0.000
Ho -1.003 1.770 2.892
Pa 2.029 0.000 2.892
N 0.088 0.000 4.213
N 1.054 1.770 1.581
N 3.004 1.770 4.202
N 3.970 0.000 1.570
```

Values from the calculation:
- energy relative to the elements, uncorrected (eV/f.u.) = -13.08
- magnetization (μB/cell) = 0.00
- DOS at the Fermi energy (states/eV per cell) = 3.635
- SG = No. 10

***

(7)
DFT (PBE-GGA) results for an optimized crystal structure of HoPa2SnN5.

```
18
Lattice="1.767 -7.542 0.000 1.767 7.542 0.000 0.000 0.000 11.672" Properties=species:S:1:pos:R:3 pbc="T T T"
Ho 1.767 3.825 5.836
Ho 1.767 -3.825 0.000
Pa 1.767 5.397 2.698
Pa 1.767 5.314 8.996
Pa 1.767 -5.314 3.159
Pa 1.767 -5.397 8.534
Sn 1.767 0.070 0.706
Sn 1.767 -0.070 6.542
N 1.767 7.373 8.017
N 1.767 3.243 1.728
N 1.767 3.058 9.903
N 1.767 2.076 4.389
N 1.767 2.013 7.229
N 1.767 -2.013 1.393
N 1.767 -2.076 10.225
N 1.767 -3.058 4.066
N 1.767 -3.243 7.564
N 1.767 -7.373 2.181
```

Values from the calculation:
- energy relative to the elements, uncorrected (eV/f.u.) = -10.60
- magnetization (μB/cell) = 0.00
- SG = No. 36

***

(8)
DFT (PBE-GGA) results for an optimized crystal structure of Sr4HoPa3N8.

```
16
Lattice="3.597 2.077 6.004 -3.597 2.077 6.004 0.000 -4.153 6.004" Properties=species:S:1:pos:R:3 pbc="T T T"
Sr 0.000 0.000 0.000
Sr -1.798 -1.038 6.004
Sr -1.798 1.038 12.009
Sr 0.000 2.077 6.004
Ho 0.000 0.000 9.007
Pa -3.597 0.000 9.007
Pa -1.798 1.038 3.002
Pa 1.798 1.038 3.002
N -1.873 -1.081 10.188
N 0.000 0.000 4.181
N 0.000 -2.162 7.825
N -1.873 1.081 7.825
N 1.873 -1.081 10.188
N 0.000 2.162 10.188
N 0.000 0.000 13.833
N 1.873 1.081 7.825
```

Values from the calculation:
- energy relative to the elements, uncorrected (eV/f.u.) = -22.00
- magnetization (μB/cell) = 0.00
- DOS at the Fermi energy (states/eV per cell) = 7.885
- SG = No. 166

***

(9)
DFT (PBE-GGA) results for an optimized crystal structure of SrHoPaN3.

```
12
Lattice="6.137 0.000 0.000 0.000 3.591 0.000 -1.997 0.000 9.038" Properties=species:S:1:pos:R:3 pbc="T T T"
Sr 0.564 0.898 1.704
Sr 3.576 2.693 7.334
Ho 0.489 0.898 7.795
Ho 3.651 2.693 1.243
Pa 0.540 2.693 4.898
Pa 3.600 0.898 4.140
N -0.952 0.898 5.754
N -0.279 2.693 8.944
N 2.169 2.693 3.314
N 1.971 0.898 5.724
N 4.419 0.898 0.094
N 5.092 2.693 3.284
```

Values from the calculation:
- energy relative to the elements, uncorrected (eV/f.u.) = -8.18
- magnetization (μB/cell) = 1.67
- DOS at the Fermi energy (states/eV per cell) = 4.128
- SG = No. 11

***

(10)
DFT (PBE-GGA) results for an optimized crystal structure of HoPa2TaN6.

```
10
Lattice="2.893 1.670 4.934 -2.893 1.670 4.934 0.000 -3.341 4.934" Properties=species:S:1:pos:R:3 pbc="T T T"
Ho 0.000 0.000 0.000
Pa 0.000 0.000 4.084
Pa 0.000 0.000 11.490
Ta 0.000 0.000 7.265
N -1.604 -0.046 5.682
N -1.125 -1.479 8.084
N 0.842 -1.366 5.682
N -0.719 1.713 8.084
N 0.762 1.412 5.682
N 1.843 -0.234 8.084
```

Values from the calculation:
- energy relative to the elements, uncorrected (eV/f.u.) = -14.94
- magnetization (μB/cell) = 0.00
- DOS at the Fermi energy (states/eV per cell) = 0.000
- SG = No. 146

***

(11)
DFT (PBE-GGA) results for an optimized crystal structure of Ho2PaTaN6.

```
10
Lattice="2.880 1.663 4.881 -2.880 1.663 4.881 0.000 -3.325 4.881" Properties=species:S:1:pos:R:3 pbc="T T T"
Ho 0.000 0.000 0.000
Ho 0.000 0.000 7.299
Pa 0.000 0.000 3.286
Ta 0.000 0.000 10.606
N -1.100 -1.986 6.653
N -1.602 0.185 9.128
N -1.170 1.946 6.653
N 0.640 -1.480 9.128
N 2.270 0.040 6.653
N 0.961 1.295 9.128
```

Values from the calculation:
- energy relative to the elements, uncorrected (eV/f.u.) = -11.48
- magnetization (μB/cell) = 0.00
- DOS at the Fermi energy (states/eV per cell) = 7.982
- SG = No. 146

***

(12)
DFT (PBE-GGA) results for an optimized crystal structure of Ho2PaTaN4.

```
8
Lattice="5.803 0.000 0.000 0.000 3.359 0.000 -1.904 0.000 5.544" Properties=species:S:1:pos:R:3 pbc="T T T"
Ho 0.000 0.000 0.000
Ho 2.901 1.680 0.000
Pa -0.952 1.680 2.772
Ta 1.949 0.000 2.772
N 0.098 0.000 4.089
N 1.032 1.680 1.515
N 2.866 1.680 4.029
N 3.801 0.000 1.455
```

Values from the calculation:
- energy relative to the elements, uncorrected (eV/f.u.) = -12.11
- magnetization (μB/cell) = 0.00
- DOS at the Fermi energy (states/eV per cell) = 3.474
- SG = No. 10

***

(13)
DFT (PBE-GGA) results for an optimized crystal structure of TbHoPa2N4.

```
8
Lattice="6.041 0.000 0.000 0.000 3.483 0.000 -2.021 0.000 5.703" Properties=species:S:1:pos:R:3 pbc="T T T"
Tb 0.000 0.000 0.000
Ho 3.020 1.742 0.000
Pa -1.010 1.742 2.852
Pa 2.010 0.000 2.852
N 0.009 0.000 4.225
N 1.023 1.742 1.489
N 2.997 1.742 4.214
N 4.011 0.000 1.479
```

Values from the calculation:
- energy relative to the elements, uncorrected (eV/f.u.) = -13.29
- magnetization (μB/cell) = 0.00
- DOS at the Fermi energy (states/eV per cell) = 4.111
- SG = No. 10

***

(14)
DFT (PBE-GGA) results for an optimized crystal structure of Tb3HoPa2N6.

```
12
Lattice="3.023 -5.237 0.000 3.023 5.237 0.000 -2.012 0.000 5.700" Properties=species:S:1:pos:R:3 pbc="T T T"
Tb 0.000 0.000 0.000
Tb 3.023 1.734 0.000
Tb 3.023 -1.734 0.000
Ho 2.017 0.000 2.850
Pa 2.017 3.491 2.850
Pa 2.017 -3.491 2.850
N 0.978 1.796 1.513
N -0.050 0.000 4.200
N 0.978 -1.796 1.513
N 3.056 1.796 4.187
N 4.084 0.000 1.499
N 3.056 -1.796 4.187
```

Values from the calculation:
- energy relative to the elements, uncorrected (eV/f.u.) = -20.32
- magnetization (μB/cell) = 0.00
- DOS at the Fermi energy (states/eV per cell) = 5.180
- SG = No. 12

***

(15)
DFT (PBE-GGA) results for an optimized crystal structure of Tb2HoPaN4.

```
8
Lattice="6.012 0.000 0.000 0.000 3.500 0.000 -1.982 0.000 5.688" Properties=species:S:1:pos:R:3 pbc="T T T"
Tb 0.000 0.000 0.000
Tb 3.006 1.750 0.000
Ho -0.991 1.750 2.844
Pa 2.015 0.000 2.844
N 0.086 0.000 4.193
N 1.038 1.750 1.491
N 2.992 1.750 4.197
N 3.944 0.000 1.495
```

Values from the calculation:
- energy relative to the elements, uncorrected (eV/f.u.) = -13.61
- magnetization (μB/cell) = 0.00
- DOS at the Fermi energy (states/eV per cell) = 3.616
- SG = No. 10

***

(16)
DFT (PBE-GGA) results for an optimized crystal structure of HoPaTeN2.

```
5
Lattice="-1.989 1.989 6.255 1.989 -1.989 6.255 1.989 1.989 -6.255" Properties=species:S:1:pos:R:3 pbc="T T T"
Ho 0.000 0.000 0.000
Pa 0.000 0.000 4.150
Te 0.000 0.000 8.308
N 1.989 0.000 5.095
N 0.000 1.989 5.095
```

Values from the calculation:
- energy relative to the elements, uncorrected (eV/f.u.) = -8.59
- magnetization (μB/cell) = 0.00
- SG = No. 107

***

(17)
DFT (PBE-GGA) results for an optimized crystal structure of Ho2PaTe2N2.

```
7
Lattice="-2.193 2.193 8.138 2.193 -2.193 8.138 2.193 2.193 -8.138" Properties=species:S:1:pos:R:3 pbc="T T T"
Ho 0.000 0.000 1.699
Ho 0.000 0.000 14.577
Pa 0.000 0.000 8.138
Te 0.000 0.000 5.097
Te 0.000 0.000 11.180
N 2.193 0.000 0.000
N 0.000 2.193 0.000
```

Values from the calculation:
- energy relative to the elements, uncorrected (eV/f.u.) = -8.83
- magnetization (μB/cell) = 0.02
- DOS at the Fermi energy (states/eV per cell) = 4.814
- SG = No. 139

***

(18)
DFT (PBE-GGA) results for an optimized crystal structure of HoPaTe2N.

```
10
Lattice="4.092 0.000 0.000 0.000 4.092 0.000 0.000 0.000 14.718" Properties=species:S:1:pos:R:3 pbc="T T T"
Ho 1.023 1.023 1.276
Ho 3.069 3.069 13.443
Pa 1.023 1.023 8.465
Pa 3.069 3.069 6.253
Te 1.023 1.023 4.537
Te 1.023 1.023 12.870
Te 3.069 3.069 1.849
Te 3.069 3.069 10.181
N 1.023 3.069 7.359
N 3.069 1.023 7.359
```

Values from the calculation:
- energy relative to the elements, uncorrected (eV/f.u.) = -7.25
- magnetization (μB/cell) = 0.65
- DOS at the Fermi energy (states/eV per cell) = 6.884
- SG = No. 129

***

(19)
DFT (PBE-GGA) results for an optimized crystal structure of HoThPa2N6.

```
10
Lattice="3.016 1.741 4.974 -3.016 1.741 4.974 0.000 -3.483 4.974" Properties=species:S:1:pos:R:3 pbc="T T T"
Ho 0.000 0.000 0.000
Th 0.000 0.000 7.576
Pa 0.000 0.000 4.165
Pa 0.000 0.000 11.582
N -0.978 -1.426 5.669
N -2.297 -0.181 8.146
N -0.746 1.560 5.669
N 1.305 -1.898 8.146
N 1.724 -0.134 5.669
N 0.991 2.080 8.146
```

Values from the calculation:
- energy relative to the elements, uncorrected (eV/f.u.) = -14.78
- magnetization (μB/cell) = 0.00
- DOS at the Fermi energy (states/eV per cell) = 7.510
- SG = No. 146

***

(20)
DFT (PBE-GGA) results for an optimized crystal structure of HoTmPa2N4.

```
8
Lattice="5.987 0.000 0.000 0.000 3.453 0.000 -2.002 0.000 5.686" Properties=species:S:1:pos:R:3 pbc="T T T"
Ho 0.000 0.000 0.000
Tm 2.993 1.726 0.000
Pa -1.001 1.726 2.843
Pa 1.992 0.000 2.843
N 0.009 0.000 4.256
N 1.014 1.726 1.439
N 2.970 1.726 4.246
N 3.976 0.000 1.430
```

Values from the calculation:
- energy relative to the elements, uncorrected (eV/f.u.) = -13.45
- magnetization (μB/cell) = 0.00
- DOS at the Fermi energy (states/eV per cell) = 3.911
- SG = No. 10